A relaxed structure of Sc8PS2. Source: Alexandria, functional PBE-GGA.

DFT total energy, eV/atom: -6.6165
Formation energy without anion corrections, eV per atom: -0.770
Crystal system: monoclinic
Magnetic moment, μB/f.u.: 0.00

Cell lengths 6.6483, 6.6483, 5.6649 Å; angles 99.07, 99.07, 109.24 degrees
With the nearest neighbours (Å) after each atom.
Element x y z (fractional)
Sc (0.0000, 0.0000, 0.0000)  2 S 2.69
Sc (0.1338, 0.5675, 0.1591)  1 P 2.69, 1 S 2.96
Sc (0.2673, 0.9972, 0.5384)  2 S 2.58-2.61, 1 P 2.66
Sc (0.4220, 0.6853, 0.7868)  2 S 2.53-2.60, 1 P 2.68
Sc (0.5675, 0.1338, 0.1591)  1 P 2.69, 1 S 2.96
Sc (0.6853, 0.4220, 0.7868)  2 S 2.53-2.60, 1 P 2.68
Sc (0.7166, 0.7166, 0.3476)  2 S 2.67, 1 P 2.73
Sc (0.9972, 0.2673, 0.5384)  2 S 2.58-2.61, 1 P 2.66
P (0.3735, 0.3735, 0.3958)  7 Sc 2.66-2.73
S (0.0217, 0.6692, 0.6774)  6 Sc 2.53-2.69
S (0.6692, 0.0217, 0.6774)  6 Sc 2.53-2.69

***

A relaxed structure of Sc6P5S. Source: Alexandria, functional PBE-GGA.

DFT total energy, eV/atom: -7.3642
Formation energy without anion corrections, eV per atom: -1.600
Crystal system: monoclinic
Magnetic moment, μB/f.u.: 0.00

Cell lengths 6.4855, 6.4855, 6.4894 Å; angles 99.60, 99.60, 119.96 degrees
With the nearest neighbours (Å) after each atom.
Element x y z (fractional)
Sc (0.0792, 0.4160, 0.7481)  5 P 2.63-2.65, 1 S 2.67
Sc (0.2474, 0.2474, 0.2524)  5 P 2.62-2.65, 1 S 2.68
Sc (0.4160, 0.0792, 0.7481)  5 P 2.63-2.65, 1 S 2.67
Sc (0.5840, 0.9208, 0.2519)  5 P 2.63-2.65, 1 S 2.67
Sc (0.7526, 0.7526, 0.7476)  5 P 2.62-2.65, 1 S 2.68
Sc (0.9208, 0.5840, 0.2519)  5 P 2.63-2.65, 1 S 2.67
P (0.0000, 0.0000, 0.5000)  6 Sc 2.62-2.65
P (0.1669, 0.8331, 0.0000)  6 Sc 2.64-2.65
P (0.3343, 0.6657, 0.5000)  6 Sc 2.63-2.65
P (0.6657, 0.3343, 0.5000)  6 Sc 2.63-2.65
P (0.8331, 0.1669, 0.0000)  6 Sc 2.64-2.65
S (0.5000, 0.5000, 0.0000)  6 Sc 2.67-2.68

***

A relaxed structure of Sc4PS2. Source: Alexandria, functional PBE-GGA.

Energy above the most stable polymorph in this dataset, eV/f.u.: 0.000
DFT total energy, eV/atom: -7.0895
Formation energy without anion corrections, eV per atom: -1.519
Crystal system: orthorhombic
Magnetic moment, μB/f.u.: 0.00

Cell lengths 6.2355, 6.2355, 12.0898 Å; angles 90.00, 90.00, 146.04 degrees
With the nearest neighbours (Å) after each atom.
Element x y z (fractional)
Sc (0.0000, 0.0000, 0.0000)  4 S 2.56
Sc (0.0000, 0.0000, 0.5000)  4 S 2.56
Sc (0.2766, 0.7234, 0.6238)  3 S 2.49-2.57, 2 P 2.75
Sc (0.2766, 0.7234, 0.8762)  3 S 2.49-2.57, 2 P 2.75
Sc (0.4506, 0.5494, 0.2500)  2 S 2.48, 2 P 2.60
Sc (0.5494, 0.4506, 0.7500)  2 S 2.48, 2 P 2.60
Sc (0.7234, 0.2766, 0.1238)  3 S 2.49-2.57, 2 P 2.75
Sc (0.7234, 0.2766, 0.3762)  3 S 2.49-2.57, 2 P 2.75
P (0.1065, 0.8935, 0.2500)  6 Sc 2.60-2.75
P (0.8935, 0.1065, 0.7500)  6 Sc 2.60-2.75
S (0.3631, 0.6369, 0.0635)  6 Sc 2.48-2.57
S (0.3631, 0.6369, 0.4365)  6 Sc 2.48-2.57
S (0.6369, 0.3631, 0.5635)  6 Sc 2.48-2.57
S (0.6369, 0.3631, 0.9365)  6 Sc 2.48-2.57

***

A relaxed structure of Sc6PS4. Source: Alexandria, functional PBE-GGA.

DFT total energy, eV/atom: -7.0931
Formation energy without anion corrections, eV per atom: -1.647
Crystal system: orthorhombic
Magnetic moment, μB/f.u.: 0.00

Cell lengths 6.2593, 6.2593, 18.3887 Å; angles 90.00, 90.00, 146.07 degrees
With the nearest neighbours (Å) after each atom.
Element x y z (fractional)
Sc (0.0000, 0.0000, 0.0000)  6 S 2.55-2.60
Sc (0.0000, 0.0000, 0.5000)  6 S 2.55-2.60
Sc (0.1718, 0.8282, 0.7500)  2 S 2.49, 2 P 2.61
Sc (0.2726, 0.7274, 0.0962)  5 S 2.57-2.69
Sc (0.2726, 0.7274, 0.4038)  5 S 2.57-2.69
Sc (0.4441, 0.5559, 0.6664)  3 S 2.56-2.58, 2 P 2.76
Sc (0.4441, 0.5559, 0.8336)  3 S 2.56-2.58, 2 P 2.76
Sc (0.5559, 0.4441, 0.1664)  3 S 2.56-2.58, 2 P 2.76
Sc (0.5559, 0.4441, 0.3336)  3 S 2.56-2.58, 2 P 2.76
Sc (0.7274, 0.2726, 0.5962)  5 S 2.57-2.69
Sc (0.7274, 0.2726, 0.9038)  5 S 2.57-2.69
Sc (0.8282, 0.1718, 0.2500)  2 S 2.49, 2 P 2.61
P (0.1722, 0.8278, 0.2500)  6 Sc 2.61-2.76
P (0.8278, 0.1722, 0.7500)  6 Sc 2.61-2.76
S (0.0837, 0.9163, 0.6272)  6 Sc 2.49-2.58
S (0.0837, 0.9163, 0.8728)  6 Sc 2.49-2.58
S (0.3577, 0.6423, 0.5392)  6 Sc 2.56-2.69
S (0.3577, 0.6423, 0.9608)  6 Sc 2.56-2.69
S (0.6423, 0.3577, 0.0392)  6 Sc 2.56-2.69
S (0.6423, 0.3577, 0.4608)  6 Sc 2.56-2.69
S (0.9163, 0.0837, 0.1272)  6 Sc 2.49-2.58
S (0.9163, 0.0837, 0.3728)  6 Sc 2.49-2.58

***

A relaxed structure of Sc6PS5. Source: Alexandria, functional PBE-GGA.

DFT total energy, eV/atom: -7.1760
Formation energy without anion corrections, eV per atom: -1.840
Crystal system: monoclinic
Magnetic moment, μB/f.u.: 0.00

Cell lengths 6.4144, 6.4144, 6.4269 Å; angles 99.51, 99.51, 120.09 degrees
With the nearest neighbours (Å) after each atom.
Element x y z (fractional)
Sc (0.0812, 0.4059, 0.2434)  1 P 2.55, 5 S 2.62-2.68
Sc (0.2453, 0.2453, 0.7580)  1 P 2.55, 5 S 2.62-2.68
Sc (0.4059, 0.0812, 0.2434)  1 P 2.55, 5 S 2.62-2.68
Sc (0.5941, 0.9188, 0.7566)  1 P 2.55, 5 S 2.62-2.68
Sc (0.7547, 0.7547, 0.2420)  1 P 2.55, 5 S 2.62-2.68
Sc (0.9188, 0.5941, 0.7566)  1 P 2.55, 5 S 2.62-2.68
P (0.0000, 0.0000, 0.0000)  6 Sc 2.55
S (0.1684, 0.8316, 0.5000)  6 Sc 2.62-2.68
S (0.3332, 0.6668, 0.0000)  6 Sc 2.62
S (0.5000, 0.5000, 0.5000)  6 Sc 2.62-2.68
S (0.6668, 0.3332, 0.0000)  6 Sc 2.62
S (0.8316, 0.1684, 0.5000)  6 Sc 2.62-2.68

***

A relaxed structure of Sc6PS2. Source: Alexandria, functional PBE-GGA.

DFT total energy, eV/atom: -6.8630
Formation energy without anion corrections, eV per atom: -1.124
Crystal system: monoclinic
Magnetic moment, μB/f.u.: 0.00

Cell lengths 6.7700, 6.7700, 8.4542 Å; angles 104.06, 104.06, 30.67 degrees
With the nearest neighbours (Å) after each atom.
Element x y z (fractional)
Sc (0.0234, 0.0234, 0.3115)  2 S 2.57, 1 P 2.57
Sc (0.3113, 0.3113, 0.3586)  3 S 2.55-2.56
Sc (0.3570, 0.3570, 0.9770)  2 P 2.56, 1 S 2.56
Sc (0.6430, 0.6430, 0.0230)  2 P 2.56, 1 S 2.56
Sc (0.6887, 0.6887, 0.6414)  3 S 2.55-2.56
Sc (0.9766, 0.9766, 0.6885)  2 S 2.57, 1 P 2.57
P (0.0000, 0.0000, 0.0000)  6 Sc 2.56-2.57
S (0.3322, 0.3322, 0.6663)  6 Sc 2.55-2.57
S (0.6678, 0.6678, 0.3337)  6 Sc 2.55-2.57

***

A relaxed structure of Sc4PSeS2. Source: Alexandria, functional PBE-GGA.

DFT total energy, eV/atom: -7.0588
Formation energy without anion corrections, eV per atom: -1.749
Crystal system: monoclinic
Magnetic moment, μB/f.u.: 0.00

Cell lengths 6.4752, 3.7397, 6.5577 Å; angles 90.00, 109.19, 90.00 degrees
With the nearest neighbours (Å) after each atom.
Element x y z (fractional)
Sc (0.2397, 0.0000, 0.2280)  3 S 2.57-2.72, 1 P 2.59, 2 Se 2.75
Sc (0.2524, 0.5000, 0.7666)  3 S 2.58-2.71, 2 P 2.61, 1 Se 2.73
Sc (0.7476, 0.5000, 0.2334)  3 S 2.58-2.71, 2 P 2.61, 1 Se 2.73
Sc (0.7603, 0.0000, 0.7720)  3 S 2.57-2.72, 1 P 2.59, 2 Se 2.75
P (0.5000, 0.0000, 0.0000)  6 Sc 2.59-2.61
Se (0.5000, 0.5000, 0.5000)  6 Sc 2.73-2.75
S (0.0000, 0.0000, 0.5000)  6 Sc 2.71-2.72
S (0.0000, 0.5000, 0.0000)  6 Sc 2.57-2.58

***

A relaxed structure of Sc6P3SeS2. Source: Alexandria, functional PBE-GGA.

DFT total energy, eV/atom: -7.1979
Formation energy without anion corrections, eV per atom: -1.701
Crystal system: monoclinic
Magnetic moment, μB/f.u.: 0.00

Cell lengths 8.4268, 8.4268, 7.5406 Å; angles 103.49, 103.49, 25.69 degrees
With the nearest neighbours (Å) after each atom.
Element x y z (fractional)
Sc (0.0017, 0.0017, 0.2351)  3 P 2.58-2.62, 1 S 2.70, 2 Se 2.74
Sc (0.3273, 0.3273, 0.4207)  3 P 2.58-2.63, 2 S 2.70, 1 Se 2.76
Sc (0.3351, 0.3351, 0.9115)  3 P 2.62-2.63, 3 S 2.68-2.69
Sc (0.6649, 0.6649, 0.0885)  3 P 2.62-2.63, 3 S 2.68-2.69
Sc (0.6727, 0.6727, 0.5793)  3 P 2.58-2.63, 2 S 2.70, 1 Se 2.76
Sc (0.9983, 0.9983, 0.7649)  3 P 2.58-2.62, 1 S 2.70, 2 Se 2.74
P (0.1655, 0.1655, 0.3322)  6 Sc 2.58-2.63
P (0.5000, 0.5000, 0.0000)  6 Sc 2.58-2.63
P (0.8345, 0.8345, 0.6678)  6 Sc 2.58-2.63
Se (0.5000, 0.5000, 0.5000)  6 Sc 2.74-2.76
S (0.1673, 0.1673, 0.8334)  6 Sc 2.68-2.70
S (0.8327, 0.8327, 0.1666)  6 Sc 2.68-2.70

***

A relaxed structure of ScP2SeS. Source: Alexandria, functional PBE-GGA.

Energy above the most stable polymorph in this dataset, eV/f.u.: 0.311
DFT total energy, eV/atom: -4.4940
Formation energy without anion corrections, eV per atom: 0.459
Crystal system: tetragonal
Magnetic moment, μB/f.u.: 0.00

Cell lengths 5.0767, 5.0767, 4.6697 Å; angles 90.00, 90.00, 90.00 degrees
With the nearest neighbours (Å) after each atom.
Element x y z (fractional)
Sc (0.0000, 0.0000, 0.0000)  2 S 2.33, 4 P 2.54
P (0.0000, 0.5000, 0.0000)  2 Sc 2.54
P (0.5000, 0.0000, 0.0000)  2 Sc 2.54
Se (0.5000, 0.5000, 0.5000)  8 P 3.45, 4 S 3.59
S (0.0000, 0.0000, 0.5000)  2 Sc 2.33

***

A relaxed structure of ScPSeS2. Source: Alexandria, functional PBE-GGA.

Energy above the most stable polymorph in this dataset, eV/f.u.: 0.000
DFT total energy, eV/atom: -4.5068
Formation energy without anion corrections, eV per atom: 0.189
Crystal system: tetragonal
Magnetic moment, μB/f.u.: 0.00

Cell lengths 4.7244, 4.7244, 4.7197 Å; angles 90.00, 90.00, 90.00 degrees
With the nearest neighbours (Å) after each atom.
Element x y z (fractional)
Sc (0.0000, 0.0000, 0.0000)  8 S 3.34, 4 P 3.34
P (0.5000, 0.5000, 0.0000)  2 Se 2.36
Se (0.5000, 0.5000, 0.5000)  2 P 2.36, 4 S 2.36
S (0.0000, 0.5000, 0.5000)  2 Se 2.36
S (0.5000, 0.0000, 0.5000)  2 Se 2.36

***

A relaxed structure of ScP2SeS. Source: Alexandria, functional PBE-GGA.

Energy above the most stable polymorph in this dataset, eV/f.u.: 0.000
DFT total energy, eV/atom: -4.5562
Formation energy without anion corrections, eV per atom: 0.396
Crystal system: tetragonal
Magnetic moment, μB/f.u.: 0.00

Cell lengths 4.7214, 4.7214, 4.7091 Å; angles 90.00, 90.00, 90.00 degrees
With the nearest neighbours (Å) after each atom.
Element x y z (fractional)
Sc (0.0000, 0.0000, 0.0000)  8 P 3.33, 4 S 3.34
P (0.0000, 0.5000, 0.5000)  2 Se 2.36
P (0.5000, 0.0000, 0.5000)  2 Se 2.36
Se (0.5000, 0.5000, 0.5000)  2 S 2.35, 4 P 2.36
S (0.5000, 0.5000, 0.0000)  2 Se 2.35